Computed, not measured: NaAsO2 at its PBEsol-relaxed geometry at the SCAN level of DFT.

Lattice parameters (Å, degrees): 5.106 6.768 14.411 90.00 90.00 90.00
Fractional positions:
Na (0.730, 0.401, 0.805)
Na (0.230, 0.599, 0.695)
Na (0.770, 0.901, 0.195)
Na (0.730, 0.901, 0.695)
Na (0.770, 0.401, 0.305)
Na (0.270, 0.099, 0.305)
Na (0.270, 0.599, 0.195)
Na (0.230, 0.099, 0.805)
As (0.759, 0.400, 0.077)
As (0.259, 0.600, 0.423)
As (0.241, 0.100, 0.577)
As (0.741, 0.400, 0.577)
As (0.759, 0.900, 0.423)
As (0.241, 0.600, 0.923)
As (0.741, 0.900, 0.923)
As (0.259, 0.100, 0.077)
O (0.688, 0.072, 0.838)
O (0.449, 0.808, 0.373)
O (0.188, 0.928, 0.662)
O (0.812, 0.572, 0.162)
O (0.551, 0.192, 0.627)
O (0.051, 0.808, 0.873)
O (0.188, 0.428, 0.838)
O (0.051, 0.308, 0.627)
O (0.688, 0.572, 0.662)
O (0.949, 0.192, 0.127)
O (0.551, 0.692, 0.873)
O (0.312, 0.428, 0.338)
O (0.949, 0.692, 0.373)
O (0.449, 0.308, 0.127)
O (0.812, 0.072, 0.338)
O (0.312, 0.928, 0.162)

space-group type = Pbca (61)
volume = 498.05 Å³/cell
formation energy from raw total energies = -6.6 eV per formula unit